# 1
Here is a relaxed structure of LuOsPb2 from OQMD. Energies are from PBE-GGA.

The structure in extended XYZ format:
```
4
Lattice="0.000 3.573 3.573 3.573 0.000 3.573 3.573 3.573 0.000" Properties=species:S:1:pos:R:3 pbc="T T T"
Lu 3.573 3.573 3.573
Os 5.359 5.359 5.359
Pb 0.000 0.000 0.000
Pb 1.786 1.786 1.786
```

Calculated values
**E**: -21.77 eV per cell
**V**: 91.20 Å³/cell
**Total magnetic moment**: 0.00 μB per formula unit


# 2
Here is a relaxed structure of LuOsPd from OQMD. Energies are from PBE-GGA.

The structure in extended XYZ format:
```
3
Lattice="0.000 3.143 3.143 3.143 0.000 3.143 3.143 3.143 0.000" Properties=species:S:1:pos:R:3 pbc="T T T"
Lu 0.000 0.000 0.000
Os 1.571 1.571 1.571
Pd 4.714 4.714 4.714
```

Calculated values
**Offset from the most stable computed form**: 295 meV/atom
**V**: 62.08 Å³/cell
**Calculated formation energy**: 630 meV per atom
**Total magnetic moment**: 0.04 μB per formula unit


# 3
Here is a relaxed structure of LuOsPd from OQMD. Energies are from PBE-GGA.

The structure in extended XYZ format:
```
3
Lattice="0.000 3.150 3.150 3.150 0.000 3.150 3.150 3.150 0.000" Properties=species:S:1:pos:R:3 pbc="T T T"
Lu 1.575 1.575 1.575
Os 0.000 0.000 0.000
Pd 4.725 4.725 4.725
```

Calculated values
**Offset from the most stable computed form**: 0 meV/atom
**V**: 62.50 Å³/cell
**Calculated formation energy**: 335 meV per atom
**Total magnetic moment**: 1.41 μB per formula unit


# 4
Here is a relaxed structure of PrTm3Lu2Te2Os from OQMD. Energies are from PBE-GGA.

The structure in extended XYZ format:
```
9
Lattice="4.060 0.000 0.000 0.000 7.052 4.195 0.000 -7.052 4.195" Properties=species:S:1:pos:R:3 pbc="T T T"
Lu 0.000 4.373 5.773
Lu 0.000 -4.373 5.773
Os 0.000 0.000 0.246
Pr 0.000 0.000 4.998
Te 2.030 2.425 4.160
Te 2.030 -2.425 4.160
Tm 2.030 0.000 2.062
Tm 2.030 1.623 7.389
Tm 2.030 -1.623 7.389
```

Calculated values
**E**: -51.23 eV per cell
**V**: 240.19 Å³/cell
**Total magnetic moment**: 0.13 μB per formula unit


# 5
Here is a relaxed structure of LuOsPt2 from OQMD. Energies are from PBE-GGA.

The structure in extended XYZ format:
```
4
Lattice="-4.019 0.924 2.750 -4.013 2.032 -2.082 -4.106 -2.705 -0.625" Properties=species:S:1:pos:R:3 pbc="T T T"
Lu -6.069 0.126 0.021
Os -9.104 0.189 0.032
Pt 0.000 0.000 0.000
Pt -3.035 0.063 0.011
```

Calculated values
**V**: 86.11 Å³/cell
**Calculated formation energy**: 208 meV per atom
**Total magnetic moment**: 2.48 μB per formula unit


# 6
Here is a relaxed structure of LuReOs from OQMD. Energies are from PBE-GGA.

The structure in extended XYZ format:
```
3
Lattice="4.280 -0.623 0.945 1.396 -3.945 1.445 2.495 -2.559 -2.614" Properties=species:S:1:pos:R:3 pbc="T T T"
Lu 0.000 0.000 0.000
Os 2.043 -1.782 -0.056
Re 6.128 -5.346 -0.167
```

Calculated values
**Offset from the most stable computed form**: 1275 meV/atom
**V**: 61.37 Å³/cell
**Calculated formation energy**: 1622 meV per atom
**Total magnetic moment**: 2.24 μB per formula unit


# 7
Here is a relaxed structure of LuReOs2 from OQMD. Energies are from PBE-GGA.

The structure in extended XYZ format:
```
4
Lattice="-0.565 2.387 3.790 -3.896 2.152 0.753 -2.815 -1.482 3.203" Properties=species:S:1:pos:R:3 pbc="T T T"
Lu -1.819 0.764 1.936
Os 0.000 0.000 0.000
Os -5.457 2.293 5.809
Re -3.638 1.529 3.873
```

Calculated values
**V**: 65.05 Å³/cell
**Calculated formation energy**: 371 meV per atom
**Total magnetic moment**: 0.16 μB per formula unit


# 8
Here is a relaxed structure of Lu2ReOs3 from OQMD. Energies are from PBE-GGA.

The structure in extended XYZ format:
```
12
Lattice="-0.965 1.423 -5.095 -3.439 -3.223 2.588 -4.303 6.763 2.704" Properties=species:S:1:pos:R:3 pbc="T T T"
Lu -2.892 -1.238 0.202
Lu -4.488 1.271 1.205
Lu -4.219 3.692 -1.007
Lu -5.815 6.202 -0.004
Os -2.006 1.626 -0.641
Os -2.469 2.309 -3.088
Os -4.121 0.761 -1.845
Os -4.586 4.202 2.042
Os -6.238 2.654 3.285
Os -6.701 3.338 0.838
Re 0.000 0.000 0.000
Re -2.152 3.382 1.352
```

Calculated values
**V**: 211.83 Å³/cell
**Calculated formation energy**: -379 meV per atom
**Total magnetic moment**: 0.00 μB per formula unit


# 9
Here is a relaxed structure of Lu2Re3Os from OQMD. Energies are from PBE-GGA.

The structure in extended XYZ format:
```
12
Lattice="5.283 0.000 0.000 -2.641 4.575 0.000 0.000 0.000 8.901" Properties=species:S:1:pos:R:3 pbc="T T T"
Lu 0.000 3.050 0.554
Lu 0.000 3.050 3.896
Lu 2.641 1.525 5.005
Lu 2.641 1.525 8.347
Os 0.000 0.000 0.000
Os 0.000 0.000 4.451
Re 1.359 0.785 2.225
Re 3.923 0.785 2.225
Re 2.641 3.005 2.225
Re 0.000 1.570 6.676
Re -1.282 3.790 6.676
Re 1.282 3.790 6.676
```

Calculated values
**V**: 215.13 Å³/cell
**Calculated formation energy**: -343 meV per atom
**Total magnetic moment**: 0.00 μB per formula unit


# 10
Here is a relaxed structure of LuRe2Os from OQMD. Energies are from PBE-GGA.

The structure in extended XYZ format:
```
4
Lattice="2.366 -2.347 3.053 -1.602 -3.924 1.570 1.985 -3.886 -1.180" Properties=species:S:1:pos:R:3 pbc="T T T"
Lu 1.375 -5.079 1.722
Os 2.062 -7.618 2.583
Re 0.000 0.000 0.000
Re 0.687 -2.539 0.861
```

Calculated values
**V**: 65.31 Å³/cell
**Calculated formation energy**: 181 meV per atom
**Total magnetic moment**: 0.00 μB per formula unit


# 11
Here is a relaxed structure of LuReOs from OQMD. Energies are from PBE-GGA.

The structure in extended XYZ format:
```
3
Lattice="0.000 3.112 3.112 3.112 0.000 3.112 3.112 3.112 0.000" Properties=species:S:1:pos:R:3 pbc="T T T"
Lu 1.556 1.556 1.556
Os 0.000 0.000 0.000
Re 4.667 4.667 4.667
```

Calculated values
**Offset from the most stable computed form**: 0 meV/atom
**V**: 60.25 Å³/cell
**Calculated formation energy**: 347 meV per atom
**Total magnetic moment**: 0.00 μB per formula unit


# 12
Here is a relaxed structure of Lu2SbOs from OQMD. Energies are from PBE-GGA.

The structure in extended XYZ format:
```
4
Lattice="-3.527 -1.483 3.043 -3.600 -2.869 -1.644 -0.222 -4.682 1.388" Properties=species:S:1:pos:R:3 pbc="T T T"
Lu 0.000 0.000 0.000
Lu -5.512 -6.775 2.090
Os -1.837 -2.258 0.697
Sb -3.675 -4.517 1.393
```

Calculated values
**E**: -24.84 eV per cell
**V**: 82.59 Å³/cell
**Total magnetic moment**: 0.00 μB per formula unit


# 13
Here is a relaxed structure of Lu3Sc3Sb2Os from OQMD. Energies are from PBE-GGA.

The structure in extended XYZ format:
```
9
Lattice="-1.172 0.948 -7.598 -5.542 -3.134 4.412 -1.560 3.758 0.710" Properties=species:S:1:pos:R:3 pbc="T T T"
Lu -0.456 0.369 -2.957
Lu -2.157 -1.220 1.717
Lu -4.101 -1.335 -1.946
Os 0.000 0.000 0.000
Sb -3.408 1.467 -3.240
Sb -4.865 0.106 0.764
Sc -1.681 2.608 -5.486
Sc -2.332 1.374 -0.382
Sc -5.040 -0.530 3.747
```

Calculated values
**Offset from the most stable computed form**: 0 meV/atom
**V**: 214.60 Å³/cell
**Total magnetic moment**: 0.02 μB per formula unit


# 14
Here is a relaxed structure of Lu3Sc3Sb2Os from OQMD. Energies are from PBE-GGA.

The structure in extended XYZ format:
```
9
Lattice="-5.277 -5.846 0.378 4.184 1.953 6.391 -2.851 2.642 1.059" Properties=species:S:1:pos:R:3 pbc="T T T"
Lu -5.427 -3.112 0.816
Lu -1.690 0.380 2.166
Lu 1.747 2.802 5.376
Os 0.000 0.000 0.000
Sb -3.549 -1.925 2.912
Sb -0.395 0.675 4.916
Sc -2.044 -2.264 0.146
Sc 1.620 0.756 2.475
Sc -0.670 -2.385 4.148
```

Calculated values
**Offset from the most stable computed form**: 94 meV/atom
**V**: 216.88 Å³/cell
**Total magnetic moment**: 0.05 μB per formula unit


# 15
Here is a relaxed structure of Y2LuSc3Sb2Os from OQMD. Energies are from PBE-GGA.

The structure in extended XYZ format:
```
9
Lattice="4.170 0.000 0.000 0.000 6.751 3.904 0.000 -6.751 3.904" Properties=species:S:1:pos:R:3 pbc="T T T"
Lu 0.000 0.000 3.036
Os 0.000 0.000 0.056
Sb 2.085 2.225 3.891
Sb 2.085 -2.225 3.891
Sc 2.085 1.548 0.898
Sc 2.085 -1.548 0.898
Sc 2.085 0.000 6.047
Y 0.000 2.667 6.257
Y 0.000 -2.667 6.257
```

Calculated values
**E**: -62.64 eV per cell
**V**: 219.79 Å³/cell
**Total magnetic moment**: 0.02 μB per formula unit


# 16
Here is a relaxed structure of YLu2Sc3Sb2Os from OQMD. Energies are from PBE-GGA.

The structure in extended XYZ format:
```
9
Lattice="-0.231 -4.077 -0.745 7.307 0.073 -2.672 -1.372 -1.301 7.547" Properties=species:S:1:pos:R:3 pbc="T T T"
Lu 4.469 0.044 -1.628
Lu -0.833 -0.796 4.614
Os 5.894 -1.219 4.842
Sb 4.321 -2.423 0.353
Sb 1.400 -2.886 3.792
Sc 6.875 -2.262 -1.320
Sc 4.444 -2.982 3.373
Sc 0.181 -3.322 6.561
Y 2.345 -0.485 1.927
```

Calculated values
**E**: -60.57 eV per cell
**V**: 217.58 Å³/cell
**Total magnetic moment**: 0.03 μB per formula unit


# 17
Here is a relaxed structure of Y2Tm3LuSb2Os from OQMD. Energies are from PBE-GGA.

The structure in extended XYZ format:
```
9
Lattice="4.201 0.000 0.000 0.000 7.032 4.033 0.000 -7.032 4.033" Properties=species:S:1:pos:R:3 pbc="T T T"
Lu 0.000 0.000 3.123
Os 0.000 0.000 0.067
Sb 2.100 2.330 4.023
Sb 2.100 -2.330 4.023
Tm 2.100 5.365 4.988
Tm 2.100 0.000 6.186
Tm 2.100 -5.365 4.988
Y 0.000 2.767 6.468
Y 0.000 -2.767 6.468
```

Calculated values
**E**: -56.61 eV per cell
**V**: 238.29 Å³/cell
**Total magnetic moment**: 0.02 μB per formula unit


# 18
Here is a relaxed structure of LuScOs from OQMD. Energies are from PBE-GGA.

The structure in extended XYZ format:
```
3
Lattice="-3.330 0.651 3.000 -3.268 3.015 -0.863 -4.199 -1.417 -0.935" Properties=species:S:1:pos:R:3 pbc="T T T"
Lu -2.699 0.562 0.300
Os -8.098 1.687 0.901
Sc 0.000 0.000 0.000
```

Calculated values
**V**: 65.70 Å³/cell
**Calculated formation energy**: 501 meV per atom
**Total magnetic moment**: 0.00 μB per formula unit


# 19
Here is a relaxed structure of LuScOs2 from OQMD. Energies are from PBE-GGA.

The structure in extended XYZ format:
```
4
Lattice="0.000 3.251 3.251 3.251 0.000 3.251 3.251 3.251 0.000" Properties=species:S:1:pos:R:3 pbc="T T T"
Lu 3.251 3.251 3.251
Os 0.000 0.000 0.000
Os 1.626 1.626 1.626
Sc 4.877 4.877 4.877
```

Calculated values
**V**: 68.72 Å³/cell
**Calculated formation energy**: 18 meV per atom
**Total magnetic moment**: 0.01 μB per formula unit


# 20
Here is a relaxed structure of Lu3Sc3Te2Os from OQMD. Energies are from PBE-GGA.

The structure in extended XYZ format:
```
9
Lattice="7.959 0.000 0.000 -3.979 6.892 0.000 0.000 0.000 3.906" Properties=species:S:1:pos:R:3 pbc="T T T"
Lu 1.939 0.000 0.000
Lu -0.970 1.679 0.000
Lu 3.010 5.213 0.000
Os 0.000 0.000 1.953
Sc 4.888 0.000 1.953
Sc 1.535 2.659 1.953
Sc -2.444 4.233 1.953
Te 3.979 2.297 0.000
Te 0.000 4.595 0.000
```

Calculated values
**E**: -56.02 eV per cell
**V**: 214.29 Å³/cell
**Total magnetic moment**: 0.00 μB per formula unit


# 21
Here is a relaxed structure of Tm2Lu3ScTe2Os from OQMD. Energies are from PBE-GGA.

The structure in extended XYZ format:
```
9
Lattice="-1.814 -2.111 2.843 5.990 -5.417 -0.201 0.510 6.314 5.014" Properties=species:S:1:pos:R:3 pbc="T T T"
Lu 0.655 -0.840 2.579
Lu 5.442 -1.659 5.024
Lu 4.143 1.121 6.260
Os 0.015 0.002 0.011
Sc 4.006 0.553 2.967
Te 3.250 -2.529 2.980
Te 1.454 1.317 4.690
Tm 6.184 -2.986 1.729
Tm 2.814 4.228 4.935
```

Calculated values
**E**: -52.64 eV per cell
**V**: 226.00 Å³/cell
**Total magnetic moment**: 0.00 μB per formula unit


# 22
Here is a relaxed structure of Lu2ZrSc3Te2Os from OQMD. Energies are from PBE-GGA.

The structure in extended XYZ format:
```
9
Lattice="-3.851 -0.090 0.336 -0.213 -6.526 -4.203 0.688 -0.696 7.704" Properties=species:S:1:pos:R:3 pbc="T T T"
Lu 0.209 -6.946 0.526
Lu 0.557 -4.698 5.117
Os 0.468 -7.113 3.448
Sc -1.970 -1.624 -0.765
Sc -1.762 -0.280 1.980
Sc -1.565 -5.527 2.825
Te -1.835 -4.593 -0.018
Te -1.543 -2.701 3.846
Zr 0.187 -2.851 1.382
```

Calculated values
**E**: -60.26 eV per cell
**V**: 206.55 Å³/cell
**Total magnetic moment**: 0.00 μB per formula unit


# 23
Here is a relaxed structure of LuSiOs2 from OQMD. Energies are from PBE-GGA.

The structure in extended XYZ format:
```
4
Lattice="0.000 3.191 3.191 3.191 0.000 3.191 3.191 3.191 0.000" Properties=species:S:1:pos:R:3 pbc="T T T"
Lu 1.596 1.596 1.596
Os 0.000 0.000 0.000
Os 4.787 4.787 4.787
Si 3.191 3.191 3.191
```

Calculated values
**E**: -31.37 eV per cell
**V**: 64.99 Å³/cell
**Total magnetic moment**: 0.02 μB per formula unit


# 24
Here is a relaxed structure of LuSiOs from OQMD. Energies are from PBE-GGA.

The structure in extended XYZ format:
```
3
Lattice="0.000 3.092 3.092 3.092 0.000 3.092 3.092 3.092 0.000" Properties=species:S:1:pos:R:3 pbc="T T T"
Lu 1.546 1.546 1.546
Os 0.000 0.000 0.000
Si 4.638 4.638 4.638
```

Calculated values
**E**: -21.66 eV per cell
**V**: 59.12 Å³/cell
**Total magnetic moment**: 0.00 μB per formula unit


# 25
Here is a relaxed structure of Lu2SiSnOs from OQMD. Energies are from PBE-GGA.

The structure in extended XYZ format:
```
10
Lattice="-0.366 2.671 5.083 -4.187 1.393 3.692 3.202 -9.859 0.262" Properties=species:S:1:pos:R:3 pbc="T T T"
Lu 0.493 -1.565 0.083
Lu -2.528 -0.307 7.226
Lu 1.176 -5.488 1.811
Lu -1.845 -4.230 8.953
Os -0.810 -0.117 2.333
Os -0.541 -5.679 6.704
Si -2.742 2.052 5.647
Si 1.390 -7.848 3.389
Sn -1.206 -1.552 4.738
Sn -0.146 -4.243 4.298
```

Calculated values
**E**: -66.49 eV per cell
**V**: 208.16 Å³/cell
**Total magnetic moment**: 0.00 μB per formula unit


# 26
Here is a relaxed structure of TmLuSi2Os from OQMD. Energies are from PBE-GGA.

The structure in extended XYZ format:
```
10
Lattice="5.218 -2.099 0.000 5.218 2.099 0.000 -4.653 0.000 8.633" Properties=species:S:1:pos:R:3 pbc="T T T"
Lu 8.868 0.000 2.779
Lu -3.084 0.000 5.854
Os 5.906 0.000 3.205
Os -0.122 0.000 5.428
Si 4.572 0.000 1.065
Si 1.711 0.000 3.798
Si 4.073 0.000 4.835
Si 1.212 0.000 7.568
Tm 1.418 0.000 0.959
Tm 4.366 0.000 7.674
```

Calculated values
**Offset from the most stable computed form**: 0 meV/atom
**V**: 189.13 Å³/cell
**Total magnetic moment**: 0.07 μB per formula unit